No. 1
Entry from Alexandria via LeMat-Bulk: Cu5Pd7 after structural relaxation (GGA-PBE).

```
Cu5Pd7
1.0
3.654 -2.191 0.000
3.654 2.191 0.000
-0.547 0.000 10.585
Cu Pd
5 7
Direct
0.000 0.000 0.000
0.005 0.005 0.752
0.332 0.332 0.423
0.668 0.668 0.577
0.995 0.995 0.248
0.000 0.000 0.500
0.328 0.328 0.182
0.334 0.334 0.925
0.336 0.336 0.665
0.664 0.664 0.335
0.666 0.666 0.075
0.672 0.672 0.818
```

ΔH_f (0 K)   -0.062 eV per atom
Space-group type   C2/m
Density of states at the Fermi level   1.249 states/eV/atom
Raw total energy   -0.353 Ry/atom

***

No. 2
Entry from Alexandria via LeMat-Bulk: Cu8Pd3 after structural relaxation (GGA-PBE).

```
Cu8Pd3
1.0
4.145 2.393 2.825
-4.145 2.393 2.825
0.000 -4.786 2.825
Cu Pd
8 3
Direct
0.139 0.139 0.139
0.191 0.436 0.538
0.436 0.538 0.191
0.462 0.809 0.564
0.538 0.191 0.436
0.564 0.462 0.809
0.809 0.564 0.462
0.861 0.861 0.861
0.000 0.000 0.500
0.000 0.500 0.000
0.500 0.000 0.000
```

ΔH_f (0 K)   0.402 eV per atom
Space-group type   R-3
Density of states at the Fermi level   0.233 states/eV/atom
Raw total energy   -0.293 Ry/atom